# 1
A relaxed TbDy5Er2 crystal, computed with GGA-PBE.

a b c (Å): 7.0580 14.1156 4.9827
angles (deg): 90.00 90.00 90.00
Space group Pbam (No. 55)
Unique sites:
Tb 0.0000 0.0000 0.0000 [2 per cell]
Dy 0.0000 0.2502 0.0000 [4 per cell]
Dy 0.0000 0.5000 0.0000 [2 per cell]
Dy 0.2501 0.1251 0.5000 [4 per cell]
Er 0.2500 0.3749 0.5000 [4 per cell]

Calculated values
E above lowest polymorph: 0 meV per atom

***

# 2
A relaxed Tb6Dy19Er4 crystal, computed with GGA-PBE.

a b c (Å): 12.3644 12.3644 12.3644
angles (deg): 90.00 90.00 90.00
Space group I23 (No. 197)
Unique sites:
Tb 0.0000 0.3736 0.5000 [12 per cell]
Dy 0.0000 0.0000 0.0000 [2 per cell]
Dy 0.0000 0.0000 0.2593 [12 per cell]
Dy 0.0630 0.2608 0.2789 [24 per cell]
Er 0.1792 0.1792 0.8208 [8 per cell]

Calculated values
Final energy: -4.22 eV/atom

***

# 3
A relaxed Tb2DyEr6 crystal, computed with GGA-PBE.

a b c (Å): 10.5346 10.5346 4.9761
angles (deg): 90.00 90.00 90.00
Space group P4_2/mnm (No. 136)
Unique sites:
Tb 0.1666 0.1666 0.0000 [4 per cell]
Dy 0.0000 0.0000 0.5000 [2 per cell]
Er 0.0004 0.3338 0.5000 [8 per cell]
Er 0.1670 0.8330 0.0000 [4 per cell]

Calculated values
E above lowest polymorph: 0 meV per atom

***

# 4
A relaxed TbDy4Er2 crystal, computed with GGA-PBE.

a b c (Å): 16.5872 3.5005 8.6620
angles (deg): 90.00 119.50 90.00
Space group C2/m (No. 12)
Unique sites:
Tb 0.0000 0.0000 0.0000 [2 per cell]
Dy 0.1404 0.5000 0.8336 [4 per cell]
Dy 0.2043 0.5000 0.2937 [4 per cell]
Er 0.0704 0.0000 0.4298 [4 per cell]

Calculated values
E above lowest polymorph: 0 meV per atom

***

# 5
A relaxed TbDy3Er8 crystal, computed with GGA-PBE.

a b c (Å): 7.6024 7.6024 15.2331
angles (deg): 90.00 90.00 90.00
Space group I4/mmm (No. 139)
Unique sites:
Tb 0.0000 0.0000 0.0000 [2 per cell]
Dy 0.0000 0.0000 0.5000 [2 per cell]
Dy 0.0000 0.5000 0.2500 [4 per cell]
Er 0.2503 0.2503 0.1251 [16 per cell]

Calculated values
Final energy: -3.84 eV/atom

***

# 6
A relaxed Tb7Dy16Er6 crystal, computed with GGA-PBE.

a b c (Å): 15.6307 15.6307 15.6307
angles (deg): 90.00 90.00 90.00
Space group Fm-3m (No. 225)
Unique sites:
Tb 0.0000 0.0000 0.0000 [4 per cell]
Tb 0.0000 0.2500 0.2500 [24 per cell]
Dy 0.1240 0.1240 0.1240 [32 per cell]
Dy 0.1510 0.1510 0.3490 [32 per cell]
Er 0.0000 0.0000 0.2724 [24 per cell]

Calculated values
Final energy: -4.35 eV/atom

***

# 7
A relaxed TbDyEr3 crystal, computed with GGA-PBE.

a b c (Å): 6.2186 6.6428 9.1059
angles (deg): 107.65 90.00 117.88
Space group P-1 (No. 2)
Unique sites:
Tb 0.0322 0.3985 0.1504 [2 per cell]
Dy 0.1674 0.0007 0.2502 [2 per cell]
Er 0.2335 0.7999 0.5492 [2 per cell]
Er 0.3662 0.3995 0.6493 [2 per cell]
Er 0.4350 0.2010 0.9494 [2 per cell]

Calculated values
E above lowest polymorph: 0 meV per atom

***

# 8
A relaxed TbDy2Er crystal, computed with GGA-PBE.

a b c (Å): 7.9676 7.9676 7.9676
angles (deg): 90.00 90.00 90.00
Space group Fm-3m (No. 225)
Unique sites:
Tb 0.0000 0.0000 0.0000 [4 per cell]
Dy 0.2500 0.2500 0.2500 [8 per cell]
Er 0.0000 0.0000 0.5000 [4 per cell]

Calculated values
E above lowest polymorph: 140 meV per atom

***

# 9
A relaxed TbDy5Er8 crystal, computed with GGA-PBE.

a b c (Å): 9.4503 9.4503 9.9940
angles (deg): 90.00 90.00 90.00
Space group I-4 (No. 82)
Unique sites:
Tb 0.0000 0.0000 0.0000 [2 per cell]
Dy 0.0000 0.5000 0.7500 [2 per cell]
Dy 0.1118 0.2885 0.3264 [8 per cell]
Er 0.0708 0.1760 0.6544 [8 per cell]
Er 0.0886 0.3270 0.9980 [8 per cell]

Calculated values
Final energy: -4.33 eV/atom

***

# 10
A relaxed Tb3Dy7Er crystal, computed with GGA-PBE.

a b c (Å): 12.5127 11.1181 5.7806
angles (deg): 90.00 117.45 90.00
Space group C2/m (No. 12)
Unique sites:
Tb 0.0000 0.0000 0.0000 [2 per cell]
Tb 0.0000 0.2086 0.5000 [4 per cell]
Dy 0.0000 0.5000 0.5000 [2 per cell]
Dy 0.1999 0.2015 0.1997 [8 per cell]
Dy 0.2074 0.0000 0.7062 [4 per cell]
Er 0.0000 0.5000 0.0000 [2 per cell]

Calculated values
E above lowest polymorph: 128 meV per atom

***

# 11
A relaxed TbDy2Er7 crystal, computed with GGA-PBE.

a b c (Å): 8.6172 16.9594 5.1547
angles (deg): 90.00 90.00 90.00
Space group Cmmm (No. 65)
Unique sites:
Tb 0.0000 0.0000 0.0000 [2 per cell]
Dy 0.0000 0.2990 0.5000 [4 per cell]
Er 0.0000 0.1973 0.0000 [4 per cell]
Er 0.0000 0.5000 0.5000 [2 per cell]
Er 0.1788 0.1093 0.5000 [8 per cell]

Calculated values
E above lowest polymorph: 686 meV per atom

***

# 12
A relaxed TbDy3Er7 crystal, computed with GGA-PBE.

a b c (Å): 12.4381 11.0600 5.7281
angles (deg): 90.00 117.35 90.00
Space group C2/m (No. 12)
Unique sites:
Tb 0.0000 0.0000 0.0000 [2 per cell]
Dy 0.0000 0.2919 0.5000 [4 per cell]
Dy 0.0000 0.5000 0.0000 [2 per cell]
Er 0.0000 0.0000 0.5000 [2 per cell]
Er 0.2044 0.3032 0.2041 [8 per cell]
Er 0.2067 0.5000 0.7056 [4 per cell]

Calculated values
E above lowest polymorph: 123 meV per atom

***

no.,size of the total moment (μB/cell)
1,0.00
2,0.01
3,0.00
4,0.00
5,0.00
6,0.00
7,0.00
8,0.02
9,0.01
10,0.72
11,0.00
12,0.66